Record 1
DFT (PBE-GGA) results for crystalline LiPrTlCd at its relaxed geometry.

## Properties
As for the total magnetization: 0.000 μB per formula unit. The calculation puts the density at 7.58 g/cm³. Its crystal system is cubic. Its electronic total energy is -11.29 eV/f.u. The formation energy from the elements is -0.33 eV/atom.

The structure in CIF format:
```
data_LiPrTlCd
_cell_length_a 7.411
_cell_length_b 7.411
_cell_length_c 7.411
_cell_angle_alpha 90.00
_cell_angle_beta 90.00
_cell_angle_gamma 90.00
_symmetry_space_group_name_H-M 'F -4 3 m'
_symmetry_Int_Tables_number 216
_symmetry_space_group_name_Hall 'F -4 2 3'
loop_
_atom_site_label
_atom_site_type_symbol
_atom_site_fract_x
_atom_site_fract_y
_atom_site_fract_z
_atom_site_occupancy
Li1 Li 0.000 0.000 0.000 1
Pr1 Pr 0.000 0.000 0.500 1
Tl1 Tl 0.250 0.250 0.250 1
Cd1 Cd 0.250 0.250 0.750 1
```

=====

Record 2
DFT (PBE-GGA) results for crystalline K2YMg at its relaxed geometry.

## Properties
As for the total magnetization: 0.000 μB per formula unit. The calculation puts the density at 1.83 g/cm³. Its crystal system is monoclinic. Its electronic total energy is -8.73 eV/f.u. The formation energy from the elements is 0.38 eV/atom.

The structure in CIF format:
```
data_K2YMg
_cell_length_a 11.638
_cell_length_b 3.567
_cell_length_c 8.412
_cell_angle_alpha 90.00
_cell_angle_beta 94.61
_cell_angle_gamma 90.00
_symmetry_space_group_name_H-M 'C 1 m 1'
_symmetry_Int_Tables_number 8
loop_
_symmetry_equiv_pos_as_xyz
'x,y,z'
'x,-y,z'
'x+1/2,y+1/2,z'
'x+1/2,-y+1/2,z'
loop_
_atom_site_label
_atom_site_type_symbol
_atom_site_fract_x
_atom_site_fract_y
_atom_site_fract_z
_atom_site_occupancy
K1 K 0.000 0.000 0.000 1
K2 K 0.237 0.000 0.701 1
Y1 Y 0.260 0.500 0.277 1
Mg1 Mg 0.489 0.000 0.415 1
```

=====

Record 3
DFT (PBE-GGA) results for crystalline InCoCu2 at its relaxed geometry.

## Properties
As for the total magnetization: 1.313 μB per formula unit. The calculation puts the density at 8.82 g/cm³. Its crystal system is tetragonal. Its electronic total energy is -17.16 eV/f.u. The formation energy from the elements is 0.22 eV/atom.

The structure in CIF format:
```
data_InCoCu2
_cell_length_a 3.158
_cell_length_b 3.158
_cell_length_c 5.684
_cell_angle_alpha 90.00
_cell_angle_beta 90.00
_cell_angle_gamma 90.00
_symmetry_space_group_name_H-M 'P 4/m m m'
_symmetry_Int_Tables_number 123
_symmetry_space_group_name_Hall '-P 4 2'
loop_
_atom_site_label
_atom_site_type_symbol
_atom_site_fract_x
_atom_site_fract_y
_atom_site_fract_z
_atom_site_occupancy
In1 In 0.000 0.000 0.000 1
Co1 Co 0.000 0.000 0.500 1
Cu1 Cu 0.500 0.500 0.283 1
```

=====

Record 4
DFT (PBE-GGA) results for crystalline Zr2PaCrC4 at its relaxed geometry.

## Properties
As for the total magnetization: 0.000 μB per formula unit. The calculation puts the density at 7.98 g/cm³. Its crystal system is orthorhombic. Its electronic total energy is -76.45 eV/f.u. The formation energy from the elements is -0.42 eV/atom.

The structure in CIF format:
```
data_Zr2PaCrC4
_cell_length_a 3.307
_cell_length_b 11.396
_cell_length_c 11.337
_cell_angle_alpha 90.00
_cell_angle_beta 90.00
_cell_angle_gamma 90.00
_symmetry_space_group_name_H-M 'C m c m'
_symmetry_Int_Tables_number 63
_symmetry_space_group_name_Hall '-C 2c 2'
loop_
_atom_site_label
_atom_site_type_symbol
_atom_site_fract_x
_atom_site_fract_y
_atom_site_fract_z
_atom_site_occupancy
Zr1 Zr 0.000 0.131 0.044 1
Pa1 Pa 0.000 0.401 0.250 1
Cr1 Cr 0.000 0.336 0.750 1
C1 C 0.000 0.065 0.250 1
C2 C 0.000 0.233 0.626 1
C3 C 0.000 0.500 0.000 1
```

=====

Record 5
DFT (PBE-GGA) results for crystalline CuOs3I at its relaxed geometry.

## Properties
As for the total magnetization: 0.000 μB per formula unit. As for the formation energy (no corrections): 2371 meV/atom. The calculation puts the density at 13.54 g/cm³. Its crystal system is cubic. The energy above the most stable polymorph in this dataset comes out at 0.00 eV/f.u. Its electronic total energy is -27.48 eV/f.u.

The structure in CIF format:
```
data_CuOs3I
_cell_length_a 4.536
_cell_length_b 4.536
_cell_length_c 4.536
_cell_angle_alpha 90.00
_cell_angle_beta 90.00
_cell_angle_gamma 90.00
_symmetry_space_group_name_H-M 'P m -3 m'
_symmetry_Int_Tables_number 221
_symmetry_space_group_name_Hall '-P 4 2 3'
loop_
_atom_site_label
_atom_site_type_symbol
_atom_site_fract_x
_atom_site_fract_y
_atom_site_fract_z
_atom_site_occupancy
Cu1 Cu 0.000 0.000 0.000 1
Os1 Os 0.000 0.000 0.500 1
I1 I 0.500 0.500 0.500 1
```

=====

Record 6
DFT (PBE-GGA) results for crystalline NaNbPS2 at its relaxed geometry.

## Properties
As for the total magnetization: 0.000 μB per formula unit. As for the formation energy (no corrections): 1231 meV/atom. The calculation puts the density at 3.48 g/cm³. Its crystal system is tetragonal. The energy above the most stable polymorph in this dataset comes out at 8.51 eV/f.u. Its electronic total energy is -18.90 eV/f.u.

The structure in CIF format:
```
data_NaNbPS2
_cell_length_a 4.661
_cell_length_b 4.661
_cell_length_c 4.635
_cell_angle_alpha 90.00
_cell_angle_beta 90.00
_cell_angle_gamma 90.00
_symmetry_space_group_name_H-M 'P 4/m m m'
_symmetry_Int_Tables_number 123
_symmetry_space_group_name_Hall '-P 4 2'
loop_
_atom_site_label
_atom_site_type_symbol
_atom_site_fract_x
_atom_site_fract_y
_atom_site_fract_z
_atom_site_occupancy
Na1 Na 0.000 0.000 0.000 1
Nb1 Nb 0.500 0.500 0.500 1
P1 P 0.000 0.000 0.500 1
S1 S 0.000 0.500 0.000 1
```

=====

Record 7
DFT (PBE-GGA) results for crystalline Pm4ZnGe at its relaxed geometry.

## Properties
As for the total magnetization: 0.000 μB per formula unit. The calculation puts the density at 6.98 g/cm³. Its crystal system is cubic. The energy above the most stable polymorph in this dataset comes out at 0.00 eV/f.u. Its electronic total energy is -27.00 eV/f.u. The formation energy from the elements is -0.35 eV/atom.

The structure in CIF format:
```
data_Pm4ZnGe
_cell_length_a 13.980
_cell_length_b 13.980
_cell_length_c 13.980
_cell_angle_alpha 90.00
_cell_angle_beta 90.00
_cell_angle_gamma 90.00
_symmetry_space_group_name_H-M 'F -4 3 m'
_symmetry_Int_Tables_number 216
_symmetry_space_group_name_Hall 'F -4 2 3'
loop_
_atom_site_label
_atom_site_type_symbol
_atom_site_fract_x
_atom_site_fract_y
_atom_site_fract_z
_atom_site_occupancy
Pm1 Pm 0.000 0.000 0.186 1
Pm2 Pm 0.061 0.250 0.750 1
Pm3 Pm 0.115 0.115 0.385 1
Zn1 Zn 0.169 0.169 0.169 1
Ge1 Ge 0.103 0.103 0.603 1
```

=====

Record 8
DFT (PBE-GGA) results for crystalline YCr2Fe at its relaxed geometry.

## Properties
As for the total magnetization: 3.077 μB per formula unit. The calculation puts the density at 5.97 g/cm³. Its crystal system is trigonal. The energy above the most stable polymorph in this dataset comes out at 1.99 eV/f.u. Its electronic total energy is -31.01 eV/f.u. The formation energy from the elements is 0.79 eV/atom.

The structure in CIF format:
```
data_YCr2Fe
_cell_length_a 3.0772
_cell_length_b 3.0772
_cell_length_c 25.3188
_cell_angle_alpha 90.00
_cell_angle_beta 90.00
_cell_angle_gamma 120.00
_symmetry_space_group_name_H-M 'R -3 m'
_symmetry_Int_Tables_number 166
_symmetry_space_group_name_Hall '-R 3 2"'
loop_
_atom_site_label
_atom_site_type_symbol
_atom_site_fract_x
_atom_site_fract_y
_atom_site_fract_z
_atom_site_occupancy
Y1 Y 0.0000 0.0000 0.0000 1
Cr1 Cr 0.0000 0.0000 0.2331 1
Fe1 Fe 0.0000 0.0000 0.5000 1
```

=====

Record 9
DFT (PBE-GGA) results for crystalline YBe2Ni at its relaxed geometry.

## Properties
As for the total magnetization: 0.000 μB per formula unit. The calculation puts the density at 4.98 g/cm³. Its crystal system is cubic. The energy above the most stable polymorph in this dataset comes out at 1.23 eV/f.u. Its electronic total energy is -19.56 eV/f.u. The formation energy from the elements is 0.03 eV/atom.

The structure in CIF format:
```
data_YBe2Ni
_cell_length_a 6.043
_cell_length_b 6.043
_cell_length_c 6.043
_cell_angle_alpha 90.00
_cell_angle_beta 90.00
_cell_angle_gamma 90.00
_symmetry_space_group_name_H-M 'F m -3 m'
_symmetry_Int_Tables_number 225
_symmetry_space_group_name_Hall '-F 4 2 3'
loop_
_atom_site_label
_atom_site_type_symbol
_atom_site_fract_x
_atom_site_fract_y
_atom_site_fract_z
_atom_site_occupancy
Y1 Y 0.000 0.000 0.000 1
Be1 Be 0.250 0.250 0.250 1
Ni1 Ni 0.000 0.000 0.500 1
```

=====

Record 10
DFT (PBE-GGA) results for crystalline TlIr2Au at its relaxed geometry.

## Properties
As for the total magnetization: 0.000 μB per formula unit. The calculation puts the density at 16.95 g/cm³. Its crystal system is monoclinic. The energy above the most stable polymorph in this dataset comes out at 0.00 eV/f.u. Its electronic total energy is -21.82 eV/f.u. The formation energy from the elements is 0.39 eV/atom.

The structure in CIF format:
```
data_TlIr2Au
_cell_length_a 2.834
_cell_length_b 3.671
_cell_length_c 7.508
_cell_angle_alpha 90.00
_cell_angle_beta 99.81
_cell_angle_gamma 90.00
_symmetry_space_group_name_H-M 'P 1 m 1'
_symmetry_Int_Tables_number 6
loop_
_symmetry_equiv_pos_as_xyz
'x,y,z'
'x,-y,z'
loop_
_atom_site_label
_atom_site_type_symbol
_atom_site_fract_x
_atom_site_fract_y
_atom_site_fract_z
_atom_site_occupancy
Tl1 Tl 0.000 0.000 0.000 1
Ir1 Ir 0.101 0.500 0.700 1
Ir2 Ir 0.533 0.000 0.546 1
Au1 Au 0.929 0.500 0.303 1
```

=====

Record 11
DFT (PBE-GGA) results for crystalline PuBiO2 at its relaxed geometry.

## Properties
As for the total magnetization: 4.811 μB per formula unit. As for the formation energy (no corrections): -1307 meV/atom. The calculation puts the density at 9.42 g/cm³. Its crystal system is trigonal. Its electronic total energy is -33.36 eV/f.u.

The structure in CIF format:
```
data_PuBiO2
_cell_length_a 4.2051
_cell_length_b 4.2051
_cell_length_c 16.7540
_cell_angle_alpha 90.00
_cell_angle_beta 90.00
_cell_angle_gamma 120.00
_symmetry_space_group_name_H-M 'R -3 m'
_symmetry_Int_Tables_number 166
_symmetry_space_group_name_Hall '-R 3 2"'
loop_
_atom_site_label
_atom_site_type_symbol
_atom_site_fract_x
_atom_site_fract_y
_atom_site_fract_z
_atom_site_occupancy
Pu1 Pu 0.0000 0.0000 0.0000 1
Bi1 Bi 0.0000 0.0000 0.5000 1
O1 O 0.0000 0.0000 0.1215 1
```

=====

Record 12
DFT (PBE-GGA) results for crystalline URe2Pt at its relaxed geometry.

## Properties
As for the total magnetization: 0.000 μB per formula unit. The calculation puts the density at 19.78 g/cm³. Its crystal system is tetragonal. Its electronic total energy is -43.01 eV/f.u. The formation energy from the elements is -0.20 eV/atom.

The structure in CIF format:
```
data_URe2Pt
_cell_length_a 4.126
_cell_length_b 4.126
_cell_length_c 3.972
_cell_angle_alpha 90.00
_cell_angle_beta 90.00
_cell_angle_gamma 90.00
_symmetry_space_group_name_H-M 'P 4/m m m'
_symmetry_Int_Tables_number 123
_symmetry_space_group_name_Hall '-P 4 2'
loop_
_atom_site_label
_atom_site_type_symbol
_atom_site_fract_x
_atom_site_fract_y
_atom_site_fract_z
_atom_site_occupancy
U1 U 0.000 0.000 0.000 1
Re1 Re 0.000 0.500 0.500 1
Pt1 Pt 0.500 0.500 0.000 1
```

=====

Q: What is the total magnetization in the tenth record?
A: 0.000 μB per formula unit

=====

What did the third record say?
DFT (PBE-GGA) results for crystalline InCoCu2 at its relaxed geometry.

## Properties
As for the total magnetization: 1.313 μB per formula unit. The calculation puts the density at 8.82 g/cm³. Its crystal system is tetragonal. Its electronic total energy is -17.16 eV/f.u. The formation energy from the elements is 0.22 eV/atom.

The structure in CIF format:
```
data_InCoCu2
_cell_length_a 3.158
_cell_length_b 3.158
_cell_length_c 5.684
_cell_angle_alpha 90.00
_cell_angle_beta 90.00
_cell_angle_gamma 90.00
_symmetry_space_group_name_H-M 'P 4/m m m'
_symmetry_Int_Tables_number 123
_symmetry_space_group_name_Hall '-P 4 2'
loop_
_atom_site_label
_atom_site_type_symbol
_atom_site_fract_x
_atom_site_fract_y
_atom_site_fract_z
_atom_site_occupancy
In1 In 0.000 0.000 0.000 1
Co1 Co 0.000 0.000 0.500 1
Cu1 Cu 0.500 0.500 0.283 1
```

=====

Q: Which of these has the lowest density?
A: K2YMg

=====

Q: Number 7 is which compound?
A: Pm4ZnGe